[1]
The following is a PBE calculation of crystalline Sc3Co2Sn4 at its relaxed geometry, from Alexandria via LeMat-Bulk.

extended XYZ file:
```
9
Lattice="5.424 -2.165 0.000 5.424 2.165 0.000 -2.637 0.000 7.829" Properties=species:S:1:pos:R:3 pbc="T T T"
Sc 0.000 0.000 0.000
Sc 3.056 0.000 2.530
Sc 5.155 0.000 5.299
Co 1.662 0.000 4.784
Co 6.549 0.000 3.045
Sn -0.161 0.000 2.978
Sn 0.860 0.000 7.204
Sn 7.351 0.000 0.625
Sn 8.372 0.000 4.850
```

Calculated values
DFT formation energy   -0.433 eV/atom
Energy above the most stable polymorph in this dataset   0 meV per atom

[2]
The following is a PBE calculation of crystalline Sr4LiSm3S8 at its relaxed geometry, from Alexandria via LeMat-Bulk.

extended XYZ file:
```
16
Lattice="4.108 2.372 6.782 -4.108 2.372 6.782 0.000 -4.743 6.782" Properties=species:S:1:pos:R:3 pbc="T T T"
Sr 0.000 0.000 0.000
Sr -2.054 -1.186 6.782
Sr -2.054 1.186 13.564
Sr 0.000 2.372 6.782
Li 0.000 0.000 10.173
Sm -4.108 0.000 10.173
Sm -2.054 1.186 3.391
Sm 2.054 1.186 3.391
S -2.059 -1.188 11.751
S 0.000 0.000 4.988
S 0.000 -2.377 8.595
S -2.059 1.188 8.595
S 2.059 -1.188 11.751
S 0.000 2.377 11.751
S 0.000 0.000 15.358
S 2.059 1.188 8.595
```

Calculated values
Formation energy from raw total energies   -2005 meV per atom

[3]
The following is a PBE calculation of crystalline LaCuCl2 at its relaxed geometry, from Alexandria via LeMat-Bulk.

extended XYZ file:
```
4
Lattice="2.945 -5.710 0.000 2.945 5.710 0.000 0.000 0.000 4.271" Properties=species:S:1:pos:R:3 pbc="T T T"
La 0.000 0.000 0.000
Cu 2.945 0.000 0.000
Cl 2.945 3.916 2.135
Cl 2.945 -3.916 2.135
```

Calculated values
Formation energy from raw total energies   -1091 meV per atom
Energy above the most stable polymorph in this dataset   77 meV per atom

[4]
The following is a PBE calculation of crystalline CsMo2I at its relaxed geometry, from Alexandria via LeMat-Bulk.

extended XYZ file:
```
4
Lattice="0.000 3.473 3.473 3.473 0.000 3.473 3.473 3.473 0.000" Properties=species:S:1:pos:R:3 pbc="T T T"
Cs 0.000 0.000 0.000
Mo 1.737 1.737 1.737
Mo 5.210 5.210 5.210
I 3.473 3.473 3.473
```

Calculated values
Formation energy from raw total energies   1969 meV per atom

[5]
The following is a PBE calculation of crystalline ReMoRu4 at its relaxed geometry, from Alexandria via LeMat-Bulk.

extended XYZ file:
```
6
Lattice="0.000 3.553 3.553 3.553 0.000 3.553 3.553 3.553 0.000" Properties=species:S:1:pos:R:3 pbc="T T T"
Re 0.000 0.000 0.000
Mo 5.329 5.329 5.329
Ru 2.663 2.663 2.663
Ru 4.442 4.442 2.663
Ru 4.442 2.663 4.442
Ru 2.663 4.442 4.442
```

Calculated values
DFT formation energy   0.423 eV/atom
Energy above the most stable polymorph in this dataset   459 meV per atom

[6]
The following is a PBE calculation of crystalline Mn2Tl4Hg at its relaxed geometry, from Alexandria via LeMat-Bulk.

extended XYZ file:
```
7
Lattice="-2.830 2.830 6.897 2.830 -2.830 6.897 2.830 2.830 -6.897" Properties=species:S:1:pos:R:3 pbc="T T T"
Mn 0.000 0.000 1.249
Mn 0.000 0.000 12.546
Tl 2.830 0.000 0.000
Tl 0.000 0.000 3.972
Tl 0.000 2.830 0.000
Tl 0.000 0.000 9.823
Hg 0.000 0.000 6.897
```

Calculated values
DFT formation energy   0.636 eV/atom

Number 1: calculated volume 20.42 A^3/atom. Number 2: calculated volume 24.78 A^3/atom. Number 3: calculated volume 35.90 A^3/atom. Number 4: calculated volume 20.95 A^3/atom. Number 5: calculated volume 14.95 A^3/atom. Number 6: calculated volume 31.57 A^3/atom.